# 1
Material: Li5B8C8
Method: DFT, GGA-PBE
State: optimized geometry

Lattice parameters (Å, degrees): 8.5900 2.7166 8.7151 90.00 114.27 90.00
Space group P2/m (No. 10)
Inequivalent atoms, fractional coordinates:
Li: 0.0000 0.0000 0.0000 x1
Li: 0.0000 0.5000 0.5000 x1
Li: 0.2711 0.0000 0.7701 x2
Li: 0.5000 0.0000 0.5000 x1
B: 0.0431 0.0000 0.2956 x2
B: 0.2080 0.5000 0.9583 x2
B: 0.2892 0.5000 0.5482 x2
B: 0.4485 0.0000 0.2097 x2
C: 0.0426 0.5000 0.7896 x2
C: 0.2018 0.0000 0.4685 x2
C: 0.2877 0.0000 0.0414 x2
C: 0.4638 0.5000 0.7062 x2

Values from the calculation:
The energy above the most stable polymorph in this dataset is 9 meV/atom. Its volume is 8.83 Å³/atom. The value obtained for the total moment is 0.000 μB/atom. The calculated formation energy comes out at -0.14 eV/atom.

# 2
Material: Ba4Li2Au5
Method: DFT, GGA-PBE
State: optimized geometry

Lattice parameters (Å, degrees): 10.3286 20.0682 6.4206 90.00 90.00 90.00
Space group Ibam (No. 72)
Inequivalent atoms, fractional coordinates:
Ba: 0.1263 0.1548 0.0000 x8
Ba: 0.2149 0.4386 0.0000 x8
Li: 0.0000 0.3045 0.2500 x8
Au: 0.0000 0.0000 0.2500 x4
Au: 0.0904 0.4047 0.5000 x8
Au: 0.1637 0.2209 0.5000 x8

Values from the calculation:
Its volume is 30.25 Å³/atom. The value obtained for the total moment is 0.000 μB/atom. The calculated formation energy comes out at -0.56 eV/atom.

# 3
Material: Sr3UPa3N8
Method: DFT, GGA-PBE
State: optimized geometry

Lattice parameters (Å, degrees): 7.1489 7.1489 18.0833 90.00 90.00 120.00
Space group R-3m (No. 166, hexagonal axes)
Inequivalent atoms, fractional coordinates:
Sr: 0.0000 0.5000 0.0000 x9
U: 0.0000 0.0000 0.5000 x3
Pa: 0.0000 0.5000 0.5000 x9
N: 0.0000 0.0000 0.2331 x6
N: 0.0100 0.5050 0.2247 x18

Values from the calculation:
Its volume is 17.79 Å³/atom. The value obtained for the total moment is 0.030 μB/atom. The calculation puts the formation energy from raw total energies at -1.328 eV per atom.

# 4
Material: SiSnPS2
Method: DFT, GGA-PBE
State: optimized geometry

Lattice parameters (Å, degrees): 4.6006 4.6006 4.5776 90.00 90.00 90.00
Space group P4/mmm (No. 123)
Inequivalent atoms, fractional coordinates:
Si: 0.0000 0.0000 0.0000 x1
Sn: 0.5000 0.5000 0.5000 x1
P: 0.0000 0.0000 0.5000 x1
S: 0.0000 0.5000 0.0000 x2

Values from the calculation:
The energy above the most stable polymorph in this dataset is 0 meV/atom. Its volume is 19.38 Å³/atom. The value obtained for the total moment is 0.000 μB/atom. The calculation puts the formation energy from raw total energies at 0.157 eV per atom.

# 5
Material: Pm2Sm2Er2Mg
Method: DFT, GGA-PBE
State: optimized geometry

Lattice parameters (Å, degrees): 11.7306 3.5444 11.7202 90.00 112.50 90.00
Space group C2/m (No. 12)
Inequivalent atoms, fractional coordinates:
Pm: 0.0478 0.0000 0.2626 x4
Sm: 0.2354 0.5000 0.8607 x4
Er: 0.1699 0.0000 0.5826 x4
Mg: 0.0000 0.5000 0.0000 x2

Values from the calculation:
Its volume is 32.16 Å³/atom. The value obtained for the total moment is 0.000 μB/atom. The calculated formation energy comes out at 0.09 eV/atom.

# 6
Material: LaDy2Ag
Method: DFT, GGA-PBE
State: optimized geometry

Lattice parameters (Å, degrees): 6.2912 3.6346 10.7835 90.00 101.16 90.00
Space group Cm (No. 8)
Inequivalent atoms, fractional coordinates:
La: 0.0000 0.0000 0.0000 x2
Dy: 0.2377 0.0000 0.7133 x2
Dy: 0.4291 0.0000 0.2863 x2
Ag: 0.3334 0.5000 0.5002 x2

Values from the calculation:
The energy above the most stable polymorph in this dataset is 137 meV/atom. Its volume is 30.24 Å³/atom. The value obtained for the total moment is 0.000 μB/atom. The calculated formation energy comes out at 0.01 eV/atom.

# 7
Material: CsCo2HgBr8
Method: DFT, GGA-PBE
State: optimized geometry

Lattice parameters (Å, degrees): 6.8613 6.8613 30.5301 90.00 90.00 120.00
Space group R-3 (No. 148, hexagonal axes)
Inequivalent atoms, fractional coordinates:
Cs: 0.0000 0.0000 0.0000 x3
Co: 0.0000 0.0000 0.2461 x6
Hg: 0.0000 0.0000 0.5000 x3
Br: 0.0000 0.0000 0.3222 x6
Br: 0.0026 0.3426 0.4445 x18

Values from the calculation:
Its volume is 34.58 Å³/atom. The value obtained for the total moment is 0.583 μB/atom. The calculation puts the formation energy from raw total energies at -0.575 eV per atom.

# 8
Material: La2BeCu3Ni12
Method: DFT, GGA-PBE
State: optimized geometry

Lattice parameters (Å, degrees): 6.0689 6.0689 24.3506 90.00 90.00 120.00
Space group R-3m (No. 166, hexagonal axes)
Inequivalent atoms, fractional coordinates:
La: 0.0000 0.0000 0.1604 x6
Be: 0.0000 0.0000 0.5000 x3
Cu: 0.0000 0.5000 0.0000 x9
Ni: 0.0676 0.5338 0.0982 x18
Ni: 0.0737 0.5369 0.6133 x18

Values from the calculation:
Its volume is 14.38 Å³/atom. The value obtained for the total moment is 0.000 μB/atom. The calculated formation energy comes out at 0.17 eV/atom.

# 9
Material: CaCuRe3
Method: DFT, GGA-PBE
State: optimized geometry

Lattice parameters (Å, degrees): 4.5807 4.5807 4.5807 90.00 90.00 90.00
Space group Pm-3m (No. 221)
Inequivalent atoms, fractional coordinates:
Ca: 0.0000 0.0000 0.0000 x1
Cu: 0.5000 0.5000 0.5000 x1
Re: 0.0000 0.5000 0.5000 x3

Values from the calculation:
The energy above the most stable polymorph in this dataset is 0 meV/atom. Its volume is 19.22 Å³/atom. The value obtained for the total moment is 0.000 μB/atom. The calculated formation energy comes out at 1.76 eV/atom.

# 10
Material: Lu2NbCl
Method: DFT, GGA-PBE
State: optimized geometry

Lattice parameters (Å, degrees): 3.4137 3.4137 27.1068 90.00 90.00 120.00
Space group R-3m (No. 166, hexagonal axes)
Inequivalent atoms, fractional coordinates:
Lu: 0.0000 0.0000 0.2479 x6
Nb: 0.0000 0.0000 0.0000 x3
Cl: 0.0000 0.0000 0.5000 x3

Values from the calculation:
Its volume is 22.80 Å³/atom. The value obtained for the total moment is 0.000 μB/atom. The calculation puts the formation energy from raw total energies at -0.461 eV per atom.

# 11
Material: GaHgBr5
Method: DFT, GGA-PBE
State: optimized geometry

Lattice parameters (Å, degrees): 7.2599 8.7675 10.3436 114.05 106.69 93.18
Space group P-1 (No. 2)
Inequivalent atoms, fractional coordinates:
Ga: 0.0796 0.3401 0.2213 x2
Hg: 0.5000 0.0000 0.0000 x1
Hg: 0.5000 0.0000 0.5000 x1
Br: 0.1299 0.6333 0.3034 x2
Br: 0.1405 0.1943 0.9952 x2
Br: 0.1888 0.2483 0.4048 x2
Br: 0.2935 0.6968 0.8497 x2
Br: 0.3752 0.0908 0.7119 x2

Values from the calculation:
Its volume is 40.33 Å³/atom. The value obtained for the total moment is 0.000 μB/atom. The calculation puts the formation energy from raw total energies at -0.625 eV per atom.

# 12
Material: La2Cd2Co
Method: DFT, GGA-PBE
State: optimized geometry

Lattice parameters (Å, degrees): 7.1644 7.1644 5.1277 90.00 90.00 90.00
Space group P4/mbm (No. 127)
Inequivalent atoms, fractional coordinates:
La: 0.1697 0.3303 0.0000 x4
Cd: 0.1440 0.6440 0.5000 x4
Co: 0.0000 0.0000 0.5000 x2

Values from the calculation:
The energy above the most stable polymorph in this dataset is 308 meV/atom. Its volume is 26.32 Å³/atom. The value obtained for the total moment is 0.200 μB/atom. The calculated formation energy comes out at 0.08 eV/atom.

# 13
Material: YTaTl2
Method: DFT, GGA-PBE
State: optimized geometry

Lattice parameters (Å, degrees): 3.2098 4.3724 6.6144 90.00 90.00 90.00
Space group Pmmm (No. 47)
Inequivalent atoms, fractional coordinates:
Y: 0.0000 0.0000 0.0000 x1
Ta: 0.0000 0.0000 0.5000 x1
Tl: 0.5000 0.5000 0.2687 x2

Values from the calculation:
Its volume is 23.21 Å³/atom. The value obtained for the total moment is 0.036 μB/atom. The calculated formation energy comes out at 0.23 eV/atom.

# 14
Material: ReSbIr2
Method: DFT, GGA-PBE
State: optimized geometry

Lattice parameters (Å, degrees): 4.8297 4.8297 2.8244 90.00 90.00 90.00
Space group P4/mmm (No. 123)
Inequivalent atoms, fractional coordinates:
Re: 0.0000 0.0000 0.0000 x1
Sb: 0.5000 0.5000 0.0000 x1
Ir: 0.0000 0.5000 0.5000 x2

Values from the calculation:
Its volume is 16.47 Å³/atom. The value obtained for the total moment is 0.012 μB/atom. The calculation puts the formation energy from raw total energies at 0.454 eV per atom.